[1]
Compound: ZnGaAg2
Source: Alexandria
Functional: PBE
Structure: relaxed

Cell lengths 4.389, 4.389, 5.178 Å; angles 64.93, 64.93, 60.00 degrees
Positions (direct):
Zn 0.680 0.680 0.960
Ga 0.484 0.484 0.549
Ag 0.066 0.066 0.803
Ag 0.271 0.271 0.187

[2]
Compound: Tb2SmDyHo
Source: Alexandria
Functional: PBE
Structure: relaxed

Cell lengths 6.392, 6.395, 8.877 Å; angles 111.11, 90.00, 90.00 degrees
Positions (direct):
Tb 0.500 0.250 0.000
Tb 0.000 0.750 0.000
Tb 0.500 0.750 0.000
Tb 0.000 0.250 0.000
Sm 0.250 0.658 0.316
Sm 0.750 0.342 0.684
Dy 0.250 0.844 0.688
Dy 0.750 0.156 0.312
Ho 0.750 0.749 0.498
Ho 0.250 0.251 0.502

[3]
Compound: GdDyTh
Source: Alexandria
Functional: PBE
Structure: relaxed

Cell lengths 3.586, 3.586, 7.915 Å; angles 103.09, 103.09, 90.00 degrees
Site moments in Bohr magnetons follow the coordinates.
Positions (direct):
Gd 0.327 0.327 0.654  7.13
Th 0.666 0.666 0.332  -0.05
Dy 0.007 0.007 0.014  0.01

| no. | calculated formation energy (eV/atom) |
| --- | --- |
| 1 | 0.06 |
| 2 | 0.36 |
| 3 | 0.02 |